Entry 1:
A relaxed K4Be crystal. Source: Alexandria, functional PBE.

Values from the calculation:
* total magnetization: 0.00 Bohr magnetons per cell
* DOS(E_F): 3.5 states/eV/cell
* energy of formation: 0.48 eV per atom

Cell: 6.6920 6.6920 6.6920 Å, 90.00 90.00 90.00°
With the nearest neighbours (Å) after each atom.
Atoms (fractional coordinates):
K: 0.0000 0.0000 0.0000  12 K 4.73
K: 0.0000 0.5000 0.5000  2 Be 3.35
K: 0.5000 0.0000 0.5000  2 Be 3.35
K: 0.5000 0.5000 0.0000  2 Be 3.35
Be: 0.5000 0.5000 0.5000  6 K 3.35

Entry 2:
A relaxed Ce7Pb3C2 crystal. Source: Alexandria, functional PBE.

Values from the calculation:
* total magnetization: 4.80 Bohr magnetons per cell
* DOS(E_F): 25.5 states/eV/cell
* energy of formation: -0.39 eV per atom

Cell: 12.7887 12.7887 4.9070 Å, 90.00 90.00 157.35°
With the nearest neighbours (Å) after each atom.
Atoms (fractional coordinates):
Ce: 0.0000 0.0000 0.0000  2 C 2.60
Ce: 0.0948 0.9052 0.5000  2 C 2.46
Ce: 0.2010 0.7990 0.0000  1 C 2.44
Ce: 0.4000 0.6000 0.0000  2 C 2.51
Ce: 0.6000 0.4000 0.0000  2 C 2.51
Ce: 0.7990 0.2010 0.0000  1 C 2.44
Ce: 0.9052 0.0948 0.5000  2 C 2.46
Pb: 0.3084 0.6916 0.5000  10 Ce 3.36-3.64
Pb: 0.5000 0.5000 0.5000  12 Ce 3.46-3.51
Pb: 0.6916 0.3084 0.5000  10 Ce 3.36-3.64
C: 0.1038 0.8962 0.0000  6 Ce 2.44-2.60
C: 0.8962 0.1038 0.0000  6 Ce 2.44-2.60

Entry 3:
A relaxed K4Ac3DyO8 crystal. Source: Alexandria, functional PBE.

Values from the calculation:
* total magnetization: 0.00 Bohr magnetons per cell
* ΔE_f (raw): -3995 kJ/mol of formula units
* DOS(E_F): 0.0 states/eV/cell

Cell: 7.6907 7.6907 7.6907 Å, 58.76 58.76 58.76°
With the nearest neighbours (Å) after each atom.
Atoms (fractional coordinates):
K: 0.0000 0.0000 0.0000  6 O 3.02
K: 0.0000 0.5000 0.5000  6 O 2.89-2.90
K: 0.5000 0.0000 0.5000  6 O 2.89-2.90
K: 0.5000 0.5000 0.0000  6 O 2.89-2.90
Ac: 0.0000 0.0000 0.5000  6 O 2.51-2.55
Ac: 0.0000 0.5000 0.0000  6 O 2.51-2.55
Ac: 0.5000 0.0000 0.0000  6 O 2.51-2.55
Dy: 0.5000 0.5000 0.5000  6 O 2.38
O: 0.2326 0.2326 0.2326  3 Ac 2.51
O: 0.2490 0.7207 0.7207  1 Dy 2.38, 2 Ac 2.55
O: 0.2793 0.2793 0.7510  1 Dy 2.38, 2 Ac 2.55
O: 0.2793 0.7510 0.2793  1 Dy 2.38, 2 Ac 2.55
O: 0.7207 0.2490 0.7207  1 Dy 2.38, 2 Ac 2.55
O: 0.7207 0.7207 0.2490  1 Dy 2.38, 2 Ac 2.55
O: 0.7510 0.2793 0.2793  1 Dy 2.38, 2 Ac 2.55
O: 0.7674 0.7674 0.7674  3 Ac 2.51

Entry 4:
A relaxed MnZnAu4 crystal. Source: Alexandria, functional PBE.

Values from the calculation:
* total magnetization: 4.57 Bohr magnetons per cell
* DOS(E_F): 4.1 states/eV/cell
* energy of formation: 0.18 eV per atom

Cell: 5.4683 5.4683 5.4683 Å, 60.00 60.00 60.00°
With the nearest neighbours (Å) after each atom.
Atoms (fractional coordinates):
Mn: 0.0000 0.0000 0.0000  12 Au 3.21, 4 Zn 3.35
Zn: 0.2500 0.2500 0.2500  12 Au 3.21, 4 Mn 3.35
Au: 0.1249 0.6250 0.6250  6 Au 2.73
Au: 0.6250 0.1249 0.6250  6 Au 2.73
Au: 0.6250 0.6250 0.1249  6 Au 2.73
Au: 0.6250 0.6250 0.6250  6 Au 2.73

Entry 5:
A relaxed ScMo2Ru crystal. Source: Alexandria, functional PBE.

Values from the calculation:
* total magnetization: 0.15 Bohr magnetons per cell
* DOS(E_F): 4.7 states/eV/cell
* energy of formation: 0.22 eV per atom

Cell: 9.2487 9.2487 9.2487 Å, 18.05 18.05 18.05°
With the nearest neighbours (Å) after each atom.
Atoms (fractional coordinates):
Sc: 0.0000 0.0000 0.0000  3 Ru 2.83, 6 Sc 2.90, 3 Mo 2.95
Mo: 0.5077 0.5077 0.5077  3 Ru 2.65, 9 Mo 2.87-2.90
Mo: 0.7554 0.7554 0.7554  9 Mo 2.87-2.90, 3 Sc 2.95
Ru: 0.2497 0.2497 0.2497  3 Mo 2.65, 3 Sc 2.83, 6 Ru 2.90

Entry 6:
A relaxed TlCdO2 crystal. Source: Alexandria, functional PBE.

Values from the calculation:
* total magnetization: 0.00 Bohr magnetons per cell
* ΔE_f (raw): -296 kJ/mol of formula units
* DOS(E_F): 1.0 states/eV/cell

Cell: 3.7616 3.7616 6.0675 Å, 90.00 90.00 120.00°
With the nearest neighbours (Å) after each atom.
Atoms (fractional coordinates):
Tl: 0.0000 0.0000 0.0000  4 O 2.32-2.34
Cd: 0.3333 0.6667 0.4917  4 O 2.26-2.27
O: 0.0000 0.0000 0.3852  3 Cd 2.27, 1 Tl 2.34
O: 0.3333 0.6667 0.8647  1 Cd 2.26, 3 Tl 2.32